Entry 1:
! InPRu3 | the Alexandria database | PBE | relaxed; values from VASP
&SYSTEM
  ibrav = 0, nat = 5, ntyp = 3
/
ATOMIC_SPECIES
Ru 101.07 Ru.upf
P 30.97 P.upf
In 114.82 In.upf
CELL_PARAMETERS angstrom
4.3708 0.0000 0.0000
0.0000 4.3708 0.0000
0.0000 0.0000 4.3708
ATOMIC_POSITIONS crystal
Ru 0.0000 0.5000 0.0000
Ru 0.0000 0.0000 0.5000
Ru 0.5000 0.0000 0.0000
P 0.0000 0.0000 0.0000
In 0.5000 0.5000 0.5000
! SG = Pm-3m
! Calculated formation energy = 0.6 eV per formula unit

---

Entry 2:
! TmHRh3 | the Alexandria database | PBE | relaxed; values from VASP
&SYSTEM
  ibrav = 0, nat = 5, ntyp = 3
/
ATOMIC_SPECIES
H 1.01 H.upf
Tm 168.93 Tm.upf
Rh 102.91 Rh.upf
CELL_PARAMETERS angstrom
-2.4547 -1.1673 3.0100
-0.4988 -3.5988 -1.8024
3.1897 -1.4611 2.0346
ATOMIC_POSITIONS crystal
H 0.0000 0.0000 0.0000
Tm 0.5000 0.5000 0.5000
Rh 0.0000 0.5000 0.0000
Rh 0.0000 0.0000 0.5000
Rh 0.5000 0.0000 0.0000
! SG = Pm-3m

---

Entry 3:
! SnSb | the Alexandria database | PBE | relaxed; values from VASP
&SYSTEM
  ibrav = 0, nat = 2, ntyp = 2
/
ATOMIC_SPECIES
Sb 121.76 Sb.upf
Sn 118.71 Sn.upf
CELL_PARAMETERS angstrom
-1.3394 -3.6223 -2.9533
3.0717 -1.6273 -3.3990
2.0331 -4.3919 0.4630
ATOMIC_POSITIONS crystal
Sb 0.2500 0.2500 0.2500
Sn 0.0000 0.0000 0.0000
! SG = F-43m
! Energy relative to the elements, uncorrected = 0.4 eV/f.u.

---

Entry 4:
! TbGaSi2Ir5 | the Alexandria database | PBE | relaxed; values from VASP
&SYSTEM
  ibrav = 0, nat = 9, ntyp = 4
/
ATOMIC_SPECIES
Tb 158.93 Tb.upf
Ga 69.72 Ga.upf
Si 28.09 Si.upf
Ir 192.22 Ir.upf
CELL_PARAMETERS angstrom
4.0327 0.0000 0.0000
0.0000 4.0327 0.0000
0.0000 0.0000 10.1685
ATOMIC_POSITIONS crystal
Tb 0.0000 0.0000 0.5000
Ga 0.0000 0.0000 0.0000
Si 0.5000 0.5000 0.2717
Si 0.5000 0.5000 0.7283
Ir 0.0000 0.5000 0.1527
Ir 0.5000 0.0000 0.1527
Ir 0.0000 0.5000 0.8473
Ir 0.5000 0.0000 0.8473
Ir 0.5000 0.5000 0.5000
! SG = P4/mmm
! Energy relative to the elements, uncorrected = -3.4 eV/f.u.

---

Entry 5:
! LaPt2BrO | the Alexandria database | PBE | relaxed; values from VASP
&SYSTEM
  ibrav = 0, nat = 5, ntyp = 4
/
ATOMIC_SPECIES
O 16.00 O.upf
Br 79.90 Br.upf
Pt 195.08 Pt.upf
La 138.91 La.upf
CELL_PARAMETERS angstrom
-3.3834 -2.7041 -0.5401
3.1398 -4.0234 0.4743
-0.6742 -0.0178 4.3124
ATOMIC_POSITIONS crystal
O 0.0000 0.0000 0.0000
Br 0.5000 0.5000 0.5000
Pt 0.0000 0.0000 0.5000
Pt 0.5000 0.0000 0.0000
La 0.0000 0.5000 0.0000
! SG = P4/mmm
! Energy relative to the elements, uncorrected = -3.3 eV/f.u.

---

Entry 6:
! HfTlAu2 | the Alexandria database | PBE | relaxed; values from VASP
&SYSTEM
  ibrav = 0, nat = 4, ntyp = 3
/
ATOMIC_SPECIES
Hf 178.49 Hf.upf
Tl 204.38 Tl.upf
Au 196.97 Au.upf
CELL_PARAMETERS angstrom
5.4209 -1.8087 -3.3136
-1.6084 5.4837 3.3136
-3.9482 0.2808 5.2887
ATOMIC_POSITIONS crystal
Hf 0.0000 0.0000 0.0000
Tl 0.0000 0.5000 0.5000
Au 0.0000 0.2296 0.2296
Au 0.0000 0.7704 0.7704
! SG = Immm
! Calculated formation energy = 0.7 eV per formula unit

---

Entry 7:
! SrAlZn2 | the Alexandria database | PBE | relaxed; values from VASP
&SYSTEM
  ibrav = 0, nat = 4, ntyp = 3
/
ATOMIC_SPECIES
Sr 87.62 Sr.upf
Zn 65.41 Zn.upf
Al 26.98 Al.upf
CELL_PARAMETERS angstrom
-0.4041 -5.7944 0.3883
4.1917 2.2417 3.3606
-1.2217 -0.3937 2.9535
ATOMIC_POSITIONS crystal
Sr 0.0000 0.5000 0.5000
Zn 0.0000 0.0000 0.0000
Zn 0.5000 0.5000 0.0000
Al 0.5000 0.0000 0.5000
! SG = C2/m
! Calculated formation energy = 0.8 eV per formula unit

---

Entry 8:
! SrAgIr2 | the Alexandria database | PBE | relaxed; values from VASP
&SYSTEM
  ibrav = 0, nat = 4, ntyp = 3
/
ATOMIC_SPECIES
Ag 107.87 Ag.upf
Ir 192.22 Ir.upf
Sr 87.62 Sr.upf
CELL_PARAMETERS angstrom
-2.0096 -3.1720 0.9212
2.4670 -1.3179 0.8437
1.5292 1.2266 7.5592
ATOMIC_POSITIONS crystal
Ag 0.5000 0.7063 0.7945
Ir 0.0000 0.9521 0.0479
Ir 0.5000 0.3217 0.1774
Sr 0.0000 0.5198 0.4802
! SG = Pm
! Calculated formation energy = 0.8 eV per formula unit

---

Entry 9:
! NiSn2Ru | the Alexandria database | PBE | relaxed; values from VASP
&SYSTEM
  ibrav = 0, nat = 4, ntyp = 3
/
ATOMIC_SPECIES
Ru 101.07 Ru.upf
Sn 118.71 Sn.upf
Ni 58.69 Ni.upf
CELL_PARAMETERS angstrom
-1.3743 -1.4109 2.5744
2.4526 -2.1140 0.1507
3.1580 3.9378 3.8440
ATOMIC_POSITIONS crystal
Ru 0.5000 0.5000 0.5000
Sn 0.0000 0.0000 0.7572
Sn 0.0000 0.0000 0.2428
Ni 0.5000 0.5000 0.0000
! SG = P4/mmm
! Calculated formation energy = -0.1 eV per formula unit

---

Entry 10:
! Al2AsPd | the Alexandria database | PBE | relaxed; values from VASP
&SYSTEM
  ibrav = 0, nat = 8, ntyp = 3
/
ATOMIC_SPECIES
As 74.92 As.upf
Al 26.98 Al.upf
Pd 106.42 Pd.upf
CELL_PARAMETERS angstrom
-0.3894 -1.7278 5.7144
5.9579 -0.4751 0.2624
3.1047 3.7372 4.4732
ATOMIC_POSITIONS crystal
As 0.5000 0.5000 0.0000
As 0.2500 0.7500 0.5000
Al 0.6291 0.1250 0.2500
Al 0.1209 0.6250 0.2500
Al 0.3750 0.3709 0.7500
Al 0.8750 0.8791 0.7500
Pd 0.0000 0.0000 0.0000
Pd 0.7500 0.2500 0.5000
! SG = I-42d
! Calculated formation energy = -0.6 eV per formula unit

---

Entry 11:
! Ti3BP | the Alexandria database | PBE | relaxed; values from VASP
&SYSTEM
  ibrav = 0, nat = 5, ntyp = 3
/
ATOMIC_SPECIES
P 30.97 P.upf
B 10.81 B.upf
Ti 47.87 Ti.upf
CELL_PARAMETERS angstrom
-1.9066 0.5845 -3.6757
0.0893 -4.1215 -0.7017
-3.7208 -0.3984 1.8666
ATOMIC_POSITIONS crystal
P 0.5000 0.5000 0.5000
B 0.0000 0.0000 0.0000
Ti 0.0000 0.5000 0.0000
Ti 0.0000 0.0000 0.5000
Ti 0.5000 0.0000 0.0000
! SG = Pm-3m
! Calculated formation energy = -1.8 eV per formula unit

---

Entry 12:
! Be3TlHg | the Alexandria database | PBE | relaxed; values from VASP
&SYSTEM
  ibrav = 0, nat = 5, ntyp = 3
/
ATOMIC_SPECIES
Be 9.01 Be.upf
Tl 204.38 Tl.upf
Hg 200.59 Hg.upf
CELL_PARAMETERS angstrom
4.5737 0.0000 0.0000
0.0000 4.5737 0.0000
0.0000 0.0000 4.5737
ATOMIC_POSITIONS crystal
Be 0.0000 0.5000 0.0000
Be 0.0000 0.0000 0.5000
Be 0.5000 0.0000 0.0000
Tl 0.5000 0.5000 0.5000
Hg 0.0000 0.0000 0.0000
! SG = Pm-3m
! Calculated formation energy = 4.0 eV per formula unit

---

Across the entries above, E takes the values -35.383 -32.688 -7.758 -66.210 -26.906 -18.191 -7.217 -21.495 -23.160 -17.889 -37.578 -9.803 eV/f.u., respectively.